# 1
# Hf2TaSb | the Open Quantum Materials Database | PBE | relaxed
# VASP energy   -8.857 eV per atom
data_Hf2TaSb
_cell_length_a 4.865
_cell_length_b 4.865
_cell_length_c 4.865
_cell_angle_alpha 60.00
_cell_angle_beta 60.00
_cell_angle_gamma 60.00
_symmetry_space_group_name_H-M 'P 1'
_symmetry_Int_Tables_number 1
loop_
_symmetry_equiv_pos_as_xyz
'x,y,z'
loop_
_atom_site_label
_atom_site_fract_x
_atom_site_fract_y
_atom_site_fract_z
Hf1 0.000 0.000 0.000
Hf2 0.250 0.250 0.250
Ta1 0.750 0.750 0.750
Sb1 0.500 0.500 0.500

***

# 2
# HfTaSb | the Open Quantum Materials Database | PBE | relaxed
# VASP energy   -8.268 eV per atom
data_HfTaSb
_cell_length_a 4.630
_cell_length_b 4.630
_cell_length_c 4.630
_cell_angle_alpha 60.00
_cell_angle_beta 60.00
_cell_angle_gamma 60.00
_symmetry_space_group_name_H-M 'P 1'
_symmetry_Int_Tables_number 1
loop_
_symmetry_equiv_pos_as_xyz
'x,y,z'
loop_
_atom_site_label
_atom_site_fract_x
_atom_site_fract_y
_atom_site_fract_z
Hf1 0.000 0.000 0.000
Ta1 0.500 0.500 0.500
Sb1 0.250 0.250 0.250

***

# 3
# TbHfSb | the Open Quantum Materials Database | PBE | relaxed
# VASP energy   -6.381 eV per atom
data_TbHfSb
_cell_length_a 4.893
_cell_length_b 4.893
_cell_length_c 4.893
_cell_angle_alpha 60.00
_cell_angle_beta 60.00
_cell_angle_gamma 60.00
_symmetry_space_group_name_H-M 'P 1'
_symmetry_Int_Tables_number 1
loop_
_symmetry_equiv_pos_as_xyz
'x,y,z'
loop_
_atom_site_label
_atom_site_fract_x
_atom_site_fract_y
_atom_site_fract_z
Tb1 0.000 0.000 0.000
Hf1 0.500 0.500 0.500
Sb1 0.750 0.750 0.750

***

# 4
# TbYHf2Sb2 | the Open Quantum Materials Database | PBE | relaxed
# VASP energy   -7.265 eV per atom
data_TbYHf2Sb2
_cell_length_a 8.811
_cell_length_b 8.811
_cell_length_c 8.811
_cell_angle_alpha 151.99
_cell_angle_beta 151.99
_cell_angle_gamma 40.03
_symmetry_space_group_name_H-M 'P 1'
_symmetry_Int_Tables_number 1
loop_
_symmetry_equiv_pos_as_xyz
'x,y,z'
loop_
_atom_site_label
_atom_site_fract_x
_atom_site_fract_y
_atom_site_fract_z
Tb1 0.000 0.000 0.000
Y1 0.647 0.647 0.000
Hf1 0.324 0.824 0.500
Hf2 0.824 0.324 0.500
Sb1 0.192 0.192 0.000
Sb2 0.455 0.455 0.000

***

# 5
# HfTcSb | the Open Quantum Materials Database | PBE | relaxed
# Energy above the most stable polymorph in this dataset   0 meV/atom
data_HfTcSb
_cell_length_a 4.496
_cell_length_b 4.496
_cell_length_c 4.496
_cell_angle_alpha 60.00
_cell_angle_beta 60.00
_cell_angle_gamma 60.00
_symmetry_space_group_name_H-M 'P 1'
_symmetry_Int_Tables_number 1
loop_
_symmetry_equiv_pos_as_xyz
'x,y,z'
loop_
_atom_site_label
_atom_site_fract_x
_atom_site_fract_y
_atom_site_fract_z
Hf1 0.000 0.000 0.000
Tc1 0.250 0.250 0.250
Sb1 0.500 0.500 0.500

***

# 6
# HfTcSb2 | the Open Quantum Materials Database | PBE | relaxed
# VASP energy   -6.948 eV per atom
data_HfTcSb2
_cell_length_a 4.883
_cell_length_b 4.883
_cell_length_c 4.883
_cell_angle_alpha 60.00
_cell_angle_beta 60.00
_cell_angle_gamma 60.00
_symmetry_space_group_name_H-M 'P 1'
_symmetry_Int_Tables_number 1
loop_
_symmetry_equiv_pos_as_xyz
'x,y,z'
loop_
_atom_site_label
_atom_site_fract_x
_atom_site_fract_y
_atom_site_fract_z
Hf1 0.000 0.000 0.000
Tc1 0.750 0.750 0.750
Sb1 0.250 0.250 0.250
Sb2 0.500 0.500 0.500

***

# 7
# HfTcSb2 | the Open Quantum Materials Database | PBE | relaxed
# VASP energy   -6.948 eV per atom
data_HfTcSb2
_cell_length_a 4.883
_cell_length_b 4.883
_cell_length_c 4.883
_cell_angle_alpha 60.00
_cell_angle_beta 60.00
_cell_angle_gamma 60.00
_symmetry_space_group_name_H-M 'P 1'
_symmetry_Int_Tables_number 1
loop_
_symmetry_equiv_pos_as_xyz
'x,y,z'
loop_
_atom_site_label
_atom_site_fract_x
_atom_site_fract_y
_atom_site_fract_z
Hf1 0.000 0.000 0.000
Tc1 0.750 0.750 0.750
Sb1 0.250 0.250 0.250
Sb2 0.500 0.500 0.500

***

# 8
# HfSb2Te | the Open Quantum Materials Database | PBE | relaxed
# VASP energy   -5.221 eV per atom
data_HfSb2Te
_cell_length_a 5.214
_cell_length_b 5.214
_cell_length_c 5.214
_cell_angle_alpha 60.00
_cell_angle_beta 60.00
_cell_angle_gamma 60.00
_symmetry_space_group_name_H-M 'P 1'
_symmetry_Int_Tables_number 1
loop_
_symmetry_equiv_pos_as_xyz
'x,y,z'
loop_
_atom_site_label
_atom_site_fract_x
_atom_site_fract_y
_atom_site_fract_z
Hf1 0.000 0.000 0.000
Sb1 0.250 0.250 0.250
Sb2 0.500 0.500 0.500
Te1 0.750 0.750 0.750